No. 1
## CeNiSb (GGA-PBE)

Data for a relaxed CeNiSb crystal.

Properties
Total moment ... 0.15 μB/atom
Theoretical density ... 7.598 Mg/m³
Energy relative to the elements, uncorrected ... -261.2 meV/atom

Lattice parameters (Å, degrees): 4.0091 4.0091 8.7178 90.00 90.00 90.00
Last column: nearest neighbours and their distance in Å.
Space group I4mm (No. 107)
Unique sites:
Ce (0.0000, 0.0000, 0.0000)  5 Sb 3.00-3.14, 5 Ni 3.09-3.11
Ni (0.0000, 0.0000, 0.3547)  1 Sb 2.62
Sb (0.0000, 0.0000, 0.6557)  1 Ni 2.62

No. 2
## CeGdGaIr (GGA-PBE)

Data for a relaxed CeGdGaIr crystal.

Properties
Total moment ... 1.80 μB/atom
Theoretical density ... 10.362 Mg/m³
Calculated formation energy ... -0.566 eV per atom

Lattice parameters (Å, degrees): 7.1041 7.1041 7.1041 90.00 90.00 90.00
Last column: nearest neighbours and their distance in Å.
Space group F-43m (No. 216)
Unique sites:
Ce (0.0000, 0.0000, 0.0000)  4 Ir 3.08, 4 Ga 3.08
Gd (0.0000, 0.0000, 0.5000)  4 Ir 3.08, 4 Ga 3.08
Ga (0.2500, 0.2500, 0.7500)  4 Gd 3.08, 4 Ce 3.08
Ir (0.2500, 0.2500, 0.2500)  4 Gd 3.08, 4 Ce 3.08

No. 3
## NdTi3O8 (GGA-PBE)

Data for a relaxed NdTi3O8 crystal.

Properties
Total moment ... 0.08 μB/atom
Theoretical density ... 3.813 Mg/m³
Energy relative to the elements, uncorrected ... -2782.5 meV/atom

Lattice parameters (Å, degrees): 5.7079 5.7079 6.4188 90.00 90.00 120.00
Last column: nearest neighbours and their distance in Å.
Space group P-3m1 (No. 164)
Unique sites:
Nd (0.0000, 0.0000, 0.0000)  6 O 2.47
Ti (0.0000, 0.0000, 0.5000)  6 O 1.96
Ti (0.3333, 0.6667, 0.7680)  4 O 1.75-1.85
O (0.1524, 0.3048, 0.6942)  2 Ti 1.85-1.96
O (0.3333, 0.6667, 0.0405)  1 Ti 1.75